Record 1
Li3AsRh at its PBEsol-relaxed geometry. Source: Alexandria via LeMat-Bulk, functional meta-GGA SCAN.

Computed properties:
Crystal system = cubic
Magnetization = 1.2 μB/cell
E_tot = -11.911 eV per atom
DOS(E_F) = 0.929 states/eV/atom
Space group = Pm-3m

Structure (POSCAR):
```
Li3AsRh
1.0
-1.371 -1.754 3.911
-2.943 -2.600 -2.197
3.116 -3.227 -0.355
Rh Li As
1 3 1
Direct
0.500 0.500 0.500
0.000 0.000 0.500
0.000 0.500 0.000
0.500 0.000 0.000
0.000 0.000 0.000
```

***

Record 2
LiAsRhSe2 at its PBEsol-relaxed geometry. Source: Alexandria via LeMat-Bulk, functional meta-GGA SCAN.

Computed properties:
Crystal system = tetragonal
Magnetization = 0.0 μB/cell
DOS(E_F) = 0.635 states/eV/atom
Space group = P4/mmm
Energy relative to the elements, uncorrected = 0.651 eV/atom

Structure (POSCAR):
```
LiAsRhSe2
1.0
-3.257 2.192 1.717
-1.718 -3.804 1.599
2.342 0.527 3.770
Se Li Rh As
2 1 1 1
Direct
0.000 0.500 0.000
0.000 0.000 0.500
0.000 0.000 0.000
0.500 0.500 0.500
0.500 0.000 0.000
```

***

Record 3
LiAsRu2 at its PBEsol-relaxed geometry. Source: Alexandria via LeMat-Bulk, functional meta-GGA SCAN.

Computed properties:
Crystal system = orthorhombic
Magnetization = 0.0 μB/cell
E_tot = -23.105 eV per atom
DOS(E_F) = 0.546 states/eV/atom
Space group = Imm2

Structure (POSCAR):
```
LiAsRu2
1.0
3.007 0.000 0.000
0.000 4.057 0.000
-1.503 -2.029 4.242
As Ru Li
1 2 1
Direct
0.505 0.505 0.010
0.998 0.998 0.997
0.240 0.740 0.481
0.756 0.256 0.512
```

***

Record 4
LiAsRu2 at its PBEsol-relaxed geometry. Source: Alexandria via LeMat-Bulk, functional meta-GGA SCAN.

Computed properties:
Crystal system = tetragonal
Magnetization = 0.0 μB/cell
E_tot = -23.074 eV per atom
DOS(E_F) = 0.984 states/eV/atom
Space group = I-4m2

Structure (POSCAR):
```
LiAsRu2
1.0
-3.643 0.141 -1.105
-0.193 -3.801 0.149
0.883 2.017 3.914
As Ru Li
1 2 1
Direct
0.500 0.500 0.000
0.750 0.250 0.500
0.000 0.000 0.000
0.250 0.750 0.500
```

***

Among the records above, which one has the highest magnetization?
Li3AsRh

***

Which value of magnetization does entry 2 give?
0.0 μB/cell

***

Which value of DOS(E_F) does entry 4 give?
0.984 states/eV/atom

***

The highest DOS(E_F) belongs to which entry?
number 4